Computed, not measured: crystalline Rb2AgAu2F6 at its relaxed geometry at the PBE-GGA level of DFT.

Properties
Electronic total energy ... -38.59 eV/cell
Mass density ... 5.714 g/cm3
ΔE_f (raw) ... -1.456 eV/atom
Crystal system ... monoclinic

a = 5.8199 Å, b = 7.3097 Å, c = 6.8693 Å
α = 118.62°, β = 90.00°, γ = 113.46°
Element x y z (fractional)
F1 0.7667 0.5334 0.6766
F2 0.3182 0.1521 0.7665
F3 0.1661 0.8479 0.2335
F4 0.6818 0.8479 0.2335
F5 0.2333 0.4666 0.3234
F6 0.8339 0.1521 0.7665
Ag1 0.5000 0.0000 0.5000
Rb1 0.7238 0.4476 0.1788
Rb2 0.2762 0.5524 0.8212
Au1 0.0616 0.1233 0.2432
Au2 0.9384 0.8767 0.7568


Computed, not measured: crystalline RbAg4Au3F12 at its relaxed geometry at the PBE-GGA level of DFT.

Properties
Electronic total energy ... -68.21 eV/cell
Mass density ... 6.382 g/cm3
ΔE_f (raw) ... -1.177 eV/atom
Crystal system ... cubic

a = 7.6715 Å, b = 7.6715 Å, c = 7.6715 Å
α = 109.47°, β = 109.47°, γ = 109.47°
Element x y z (fractional)
F1 0.1591 0.8349 0.6758
F2 0.1651 0.3242 0.8409
F3 0.3242 0.8409 0.1651
F4 0.5167 0.6758 0.8409
F5 0.8409 0.5167 0.6758
F6 0.1591 0.4833 0.3242
F7 0.4833 0.3242 0.1591
F8 0.3242 0.1591 0.4833
F9 0.6758 0.8409 0.5167
F10 0.8409 0.1651 0.3242
F11 0.8349 0.6758 0.1591
F12 0.6758 0.1591 0.8349
Au1 0.5000 0.0000 0.5000
Au2 0.0000 0.5000 0.5000
Au3 0.5000 0.5000 0.0000
Ag1 0.0000 0.5000 0.0000
Ag2 0.5000 0.5000 0.5000
Ag3 0.0000 0.0000 0.5000
Ag4 0.5000 0.0000 0.0000
Rb1 0.0000 0.0000 0.0000


Computed, not measured: crystalline AgRhAuF6 at its relaxed geometry at the PBE-GGA level of DFT.

Properties
Electronic total energy ... -70.21 eV/cell
Mass density ... 6.366 g/cm3
ΔE_f (raw) ... -1.155 eV/atom
Crystal system ... trigonal

a = 5.9343 Å, b = 5.9343 Å, c = 8.9242 Å
α = 90.00°, β = 90.00°, γ = 120.00°
Element x y z (fractional)
F1 0.3328 0.9480 0.6284
F2 0.6672 0.0520 0.3716
F3 0.0520 0.6672 0.8716
F4 0.0520 0.3848 0.6284
F5 0.3848 0.0520 0.1284
F6 0.6152 0.6672 0.6284
F7 0.9480 0.6152 0.3716
F8 0.6152 0.9480 0.8716
F9 0.3848 0.3328 0.3716
F10 0.9480 0.3328 0.1284
F11 0.6672 0.6152 0.1284
F12 0.3328 0.3848 0.8716
Au1 0.0000 0.0000 0.5000
Au2 0.0000 0.0000 0.0000
Rh1 0.3333 0.6667 0.7500
Rh2 0.6667 0.3333 0.2500
Ag1 0.6667 0.3333 0.7500
Ag2 0.3333 0.6667 0.2500


Computed, not measured: crystalline Ag2RuAuF at its relaxed geometry at the PBE-GGA level of DFT.

Properties
Electronic total energy ... -16.88 eV/cell
Mass density ... 9.380 g/cm3
ΔE_f (raw) ... 0.649 eV/atom
Crystal system ... tetragonal

a = 4.2899 Å, b = 5.1249 Å, c = 4.2899 Å
α = 90.00°, β = 90.00°, γ = 90.00°
Element x y z (fractional)
Au1 0.0000 0.5000 0.0000
Ag1 0.5000 0.0000 0.0000
Ag2 0.0000 0.0000 0.5000
Ru1 0.5000 0.5000 0.5000
F1 0.0000 0.0000 0.0000


Computed, not measured: crystalline Ag2AuSF at its relaxed geometry at the PBE-GGA level of DFT.

Properties
Electronic total energy ... -15.79 eV/cell
Mass density ... 7.109 g/cm3
ΔE_f (raw) ... -0.162 eV/atom
Crystal system ... tetragonal

a = 4.8380 Å, b = 4.6279 Å, c = 4.8380 Å
α = 90.00°, β = 90.00°, γ = 90.00°
Element x y z (fractional)
S1 0.0000 0.0000 0.0000
Au1 0.0000 0.5000 0.0000
F1 0.5000 0.5000 0.5000
Ag1 0.0000 0.0000 0.5000
Ag2 0.5000 0.0000 0.0000


Computed, not measured: crystalline ScAgAuF2 at its relaxed geometry at the PBE-GGA level of DFT.

Properties
Electronic total energy ... -18.25 eV/cell
Mass density ... 6.235 g/cm3
ΔE_f (raw) ... -0.410 eV/atom
Crystal system ... tetragonal

a = 4.3767 Å, b = 5.3916 Å, c = 4.3767 Å
α = 90.00°, β = 90.00°, γ = 90.00°
Element x y z (fractional)
F1 0.5000 0.0000 0.0000
F2 0.0000 0.0000 0.5000
Sc1 0.5000 0.5000 0.5000
Au1 0.0000 0.0000 0.0000
Ag1 0.0000 0.5000 0.0000


Computed, not measured: crystalline AgSnAuF6 at its relaxed geometry at the PBE-GGA level of DFT.

Properties
Electronic total energy ... -72.33 eV/cell
Mass density ... 5.857 g/cm3
ΔE_f (raw) ... -1.645 eV/atom
Crystal system ... trigonal

a = 6.1257 Å, b = 6.1257 Å, c = 9.3788 Å
α = 90.00°, β = 90.00°, γ = 120.00°
Element x y z (fractional)
F1 0.9403 0.6073 0.3695
F2 0.9403 0.3330 0.1305
F3 0.6670 0.6073 0.1305
F4 0.3927 0.0597 0.1305
F5 0.3330 0.3927 0.8695
F6 0.3330 0.9403 0.6305
F7 0.6073 0.9403 0.8695
F8 0.0597 0.6670 0.8695
F9 0.6670 0.0597 0.3695
F10 0.3927 0.3330 0.3695
F11 0.6073 0.6670 0.6305
F12 0.0597 0.3927 0.6305
Ag1 0.3333 0.6667 0.2500
Ag2 0.6667 0.3333 0.7500
Sn1 0.3333 0.6667 0.7500
Sn2 0.6667 0.3333 0.2500
Au1 0.0000 0.0000 0.0000
Au2 0.0000 0.0000 0.5000


Computed, not measured: crystalline SrAgAu2F8 at its relaxed geometry at the PBE-GGA level of DFT.

Properties
Electronic total energy ... -44.41 eV/cell
Mass density ... 5.744 g/cm3
ΔE_f (raw) ... -1.529 eV/atom
Crystal system ... tetragonal

a = 6.5340 Å, b = 6.5340 Å, c = 6.5340 Å
α = 110.95°, β = 110.95°, γ = 106.55°
Element x y z (fractional)
Ag1 0.0000 0.0000 0.0000
F1 0.2833 0.1106 0.8273
F2 0.2833 0.4561 0.1727
F3 0.9651 0.6484 0.6833
F4 0.8894 0.7167 0.1727
F5 0.5439 0.7167 0.8273
F6 0.9651 0.2818 0.3167
F7 0.3516 0.0349 0.3167
F8 0.7182 0.0349 0.6833
Au1 0.5000 0.5000 0.0000
Au2 0.7500 0.2500 0.5000
Sr1 0.2500 0.7500 0.5000